# 1
This record from Alexandria describes Sc7GaPd4 after structural relaxation. The functional is GGA-PBE.

- E_form: -5.8 eV/f.u.

Lattice parameters (Å, degrees): 7.193 7.193 8.940 124.10 124.10 42.04
Fractional coordinates of all 12 atoms:
1 Sc 0.000 0.000 0.000
2 Sc 0.228 0.228 0.681
3 Sc 0.281 0.281 0.117
4 Sc 0.437 0.437 0.627
5 Sc 0.563 0.563 0.373
6 Sc 0.719 0.719 0.883
7 Sc 0.772 0.772 0.319
8 Ga 0.500 0.500 0.000
9 Pd 0.067 0.067 0.757
10 Pd 0.199 0.199 0.355
11 Pd 0.801 0.801 0.645
12 Pd 0.933 0.933 0.243

---

# 2
This record from Alexandria describes Er4MgCuRu2 after structural relaxation. The functional is GGA-PBE.

- E_form: -2.5 eV/f.u.

Lattice parameters (Å, degrees): 8.502 8.502 8.502 33.38 33.38 33.38
Fractional coordinates of all 8 atoms:
1 Er 0.120 0.120 0.120
2 Er 0.371 0.371 0.371
3 Er 0.629 0.629 0.629
4 Er 0.880 0.880 0.880
5 Mg 0.500 0.500 0.500
6 Cu 0.000 0.000 0.000
7 Ru 0.248 0.248 0.248
8 Ru 0.752 0.752 0.752

---

# 3
This record from Alexandria describes Pr2DyErO6 after structural relaxation. The functional is GGA-PBE.

- Uncorrected energy: -8.27 eV per atom

Lattice parameters (Å, degrees): 6.144 6.144 6.144 58.16 58.16 58.16
Fractional coordinates of all 10 atoms:
1 Pr 0.000 0.000 0.000
2 Pr 0.500 0.500 0.500
3 Dy 0.277 0.277 0.277
4 Er 0.778 0.778 0.778
5 O 0.074 0.412 0.654
6 O 0.152 0.909 0.577
7 O 0.412 0.654 0.074
8 O 0.577 0.152 0.909
9 O 0.654 0.074 0.412
10 O 0.909 0.577 0.152